Entry 1:
Ti3BiH: relaxed, PBE.

Geometry as POSCAR:
```
Ti3BiH
1.0
5.1903 -0.0083 0.0026
1.1158 5.8031 -0.0077
1.0999 2.6677 5.1674
H Bi Ti
2 2 6
Cartesian
3.5770 3.6749 2.3044
1.2073 4.5783 2.8477
6.5516 7.3028 4.5155
1.7613 1.0997 0.7277
3.0282 5.1912 3.2194
5.3356 3.2071 2.0212
5.4697 6.0273 2.0240
2.8411 2.2909 3.2527
2.8509 3.8797 0.6355
5.4591 4.5139 4.5188
```

Uncorrected energy   -6.42 eV/atom
Space group   P1
Energy above the most stable polymorph in this dataset   16.3 meV per atom


Entry 2:
Ti3BiH: relaxed, PBE.

Geometry as POSCAR:
```
Ti3BiH
1.0
5.2205 -0.0058 -0.0039
1.1418 5.7959 0.0027
1.1426 2.6800 5.1378
Ti Bi H
6 2 2
Cartesian
2.7370 5.8690 3.8814
5.5136 6.4735 2.5435
5.4115 5.1991 0.0840
1.5947 1.5847 1.3867
5.4122 3.7035 2.5488
2.5737 4.6011 1.4072
2.8355 2.8692 3.8693
4.2156 2.4315 0.0919
4.4354 5.1334 1.7305
5.8110 1.6980 3.1593
```

Uncorrected energy   -6.41 eV/atom
Space group   Cm
Energy above the most stable polymorph in this dataset   20.9 meV per atom


Entry 3:
Ti3BiH: relaxed, PBE.

Geometry as POSCAR:
```
Ti3BiH
1.0
-0.4060 -4.7535 2.5392
3.7606 1.1973 3.6922
-3.5703 1.7948 3.6387
Bi Ti H
2 6 2
Cartesian
-0.1078 -0.8807 4.9350
0.0000 0.0000 0.0000
-0.9373 0.2840 7.6721
-1.1830 -2.7797 7.1199
0.7217 -2.0454 2.1980
0.9674 1.0182 2.7501
1.6352 -1.4676 7.4157
-1.8508 -0.2939 2.4544
-0.1617 -1.3211 7.4025
-0.0539 -0.4404 2.4675
```

Uncorrected energy   -6.33 eV/atom
Space group   R-3c
Energy above the most stable polymorph in this dataset   104.9 meV per atom


Entry 4:
Ti3BiH: relaxed, PBE.

Geometry as POSCAR:
```
Ti3BiH
1.0
5.4230 0.0000 0.0000
0.0000 8.4300 0.0000
0.0000 0.0000 7.1768
Bi Ti H
4 12 4
Cartesian
2.7115 4.2150 0.0000
2.7115 0.0000 0.0000
0.0000 4.2150 3.5884
0.0000 0.0000 3.5884
4.0466 6.3225 1.8125
5.4223 5.1054 6.3022
1.3351 6.3225 1.7759
0.0008 3.3246 0.8746
2.7107 5.1054 4.4630
2.7123 3.3246 2.7138
5.4223 7.5396 6.3022
4.0879 2.1075 5.4009
1.3764 2.1075 5.3643
2.7123 0.8904 2.7138
2.7107 7.5396 4.4630
0.0008 0.8904 0.8746
2.7479 2.1075 4.0859
5.3866 6.3225 0.4975
0.0364 2.1075 6.6793
2.6751 6.3225 3.0909
```

Uncorrected energy   -6.19 eV/atom
Space group   Pnma
Energy above the most stable polymorph in this dataset   240.3 meV per atom


Entry 5:
Ti7TlBi2H2: relaxed, PBE.

Geometry as POSCAR:
```
Ti7TlBi2H2
1.0
4.1809 -0.0022 0.0131
0.0029 4.1809 0.0131
2.0654 2.0629 11.3504
Ti H Tl Bi
7 2 1 2
Cartesian
2.0789 2.0764 4.1416
4.1703 4.1652 7.2350
2.0919 2.0894 0.0131
4.1761 2.0820 2.1509
2.0871 4.1735 2.1509
4.1622 2.0681 9.2257
2.0732 4.1596 9.2257
2.0860 2.0835 2.0918
4.1632 4.1581 9.2848
0.0000 0.0000 0.0000
2.0786 2.0760 7.0821
4.1707 4.1656 4.2944
```

Uncorrected energy   -6.22 eV/atom
Space group   C2/m


Entry 6:
Ti2VBiH: relaxed, PBE.

Geometry as POSCAR:
```
Ti2VBiH
1.0
4.8755 0.0000 0.0000
0.0000 3.5014 0.0000
0.0000 0.0000 4.8755
Bi V Ti H
1 1 2 1
Cartesian
2.4378 1.7507 2.4378
0.0000 0.0000 0.0000
0.0000 0.0000 2.4378
2.4378 0.0000 0.0000
0.0000 1.7507 0.0000
```

Uncorrected energy   -5.92 eV/atom
Space group   P4/mmm
Energy above the most stable polymorph in this dataset   642.4 meV per atom


Entry 7:
Ti2VBiH: relaxed, PBE.

Geometry as POSCAR:
```
Ti2VBiH
1.0
-0.1175 -0.5876 -4.2138
-1.8617 -3.7833 0.5794
-3.5534 1.7268 -0.1417
Ti Bi V H
2 1 1 1
Cartesian
-0.0588 -0.2938 -2.1069
-0.9308 -1.8917 0.2897
-2.7663 -1.3220 -1.8880
-1.7767 0.8634 -0.0708
0.0000 0.0000 0.0000
```

Uncorrected energy   -6.56 eV/atom
Space group   P4/mmm
Energy above the most stable polymorph in this dataset   0.0 meV per atom


Entry 8:
Ti2VBiH: relaxed, PBE.

Geometry as POSCAR:
```
Ti2VBiH
1.0
-2.5227 -3.2994 3.3150
-0.1231 -2.4666 -2.5486
4.6735 -1.9266 1.6389
Ti V Bi H
2 1 1 1
Cartesian
-1.2613 -1.6497 1.6575
2.3367 -0.9633 0.8195
1.0139 -3.8463 1.2027
0.0000 0.0000 0.0000
-0.0615 -1.2333 -1.2743
```

Uncorrected energy   -5.12 eV/atom
Space group   P4/mmm
Energy above the most stable polymorph in this dataset   1436.3 meV per atom


Q: The lowest uncorrected energy belongs to which entry?
A: number 7